An optimized crystal structure of AcTb12Y3. Source: Alexandria via LeMat-Bulk, functional GGA-PBE.

Lattice parameters (Å, degrees): 5.0772 5.0772 20.3211 90.00 90.00 90.00
With the nearest neighbours (Å) after each atom.
Fractional coordinates of all 16 atoms:
1 Tb 0.5000 0.5000 0.0000  4 Ac 3.59, 8 Tb 3.67
2 Tb 0.5000 0.0000 0.8697  2 Y 3.55, 8 Tb 3.57-3.67, 2 Ac 3.67
3 Tb 0.5000 0.5000 0.2542  8 Tb 3.55-3.57, 4 Y 3.59
4 Tb 0.5000 0.5000 0.7458  8 Tb 3.55-3.57, 4 Y 3.59
5 Tb 0.0000 0.5000 0.3766  8 Tb 3.55-3.59, 4 Y 3.57-3.58
6 Tb 0.5000 0.5000 0.5000  8 Tb 3.57, 4 Y 3.59
7 Tb 0.0000 0.5000 0.1303  2 Y 3.55, 8 Tb 3.57-3.67, 2 Ac 3.67
8 Tb 0.0000 0.5000 0.6234  8 Tb 3.55-3.59, 4 Y 3.57-3.58
9 Tb 0.5000 0.0000 0.1303  2 Y 3.55, 8 Tb 3.57-3.67, 2 Ac 3.67
10 Tb 0.0000 0.5000 0.8697  2 Y 3.55, 8 Tb 3.57-3.67, 2 Ac 3.67
11 Tb 0.5000 0.0000 0.6234  8 Tb 3.55-3.59, 4 Y 3.57-3.58
12 Tb 0.5000 0.0000 0.3766  8 Tb 3.55-3.59, 4 Y 3.57-3.58
13 Y 0.0000 0.0000 0.7473  12 Tb 3.55-3.59
14 Y 0.0000 0.0000 0.2527  12 Tb 3.55-3.59
15 Y 0.0000 0.0000 0.5000  12 Tb 3.57-3.59
16 Ac 0.0000 0.0000 0.0000  12 Tb 3.59-3.67

***

An optimized crystal structure of Ac2Tb2Y. Source: Alexandria via LeMat-Bulk, functional GGA-PBE.

Lattice parameters (Å, degrees): 6.7400 9.8271 9.5487 39.49 69.33 69.94
With the nearest neighbours (Å) after each atom.
Fractional coordinates of all 10 atoms:
1 Ac 0.5514 0.3091 0.3065  2 Y 3.60-3.99, 4 Tb 3.66-4.02, 5 Ac 3.79-4.00
2 Ac 0.4486 0.6909 0.6935  2 Y 3.60-3.99, 4 Tb 3.66-4.02, 5 Ac 3.79-4.00
3 Ac 0.8330 0.8091 0.8065  2 Y 3.60-3.99, 4 Tb 3.66-4.02, 5 Ac 3.79-4.00
4 Ac 0.1670 0.1909 0.1935  2 Y 3.60-3.99, 4 Tb 3.66-4.02, 5 Ac 3.79-4.00
5 Tb 0.8024 0.1620 0.0112  2 Y 3.38-3.62, 4 Tb 3.48-3.63, 3 Ac 3.66-3.76
6 Tb 0.1976 0.8380 0.9888  2 Y 3.38-3.62, 4 Tb 3.48-3.63, 3 Ac 3.66-3.76
7 Tb 0.0245 0.6620 0.5112  2 Y 3.38-3.62, 4 Tb 3.48-3.63, 3 Ac 3.66-3.76
8 Tb 0.9755 0.3380 0.4888  2 Y 3.38-3.62, 4 Tb 3.48-3.63, 3 Ac 3.66-3.76
9 Y 0.5759 0.7500 0.2500  4 Tb 3.38-3.62, 2 Y 3.43, 2 Ac 3.60
10 Y 0.4241 0.2500 0.7500  4 Tb 3.38-3.62, 2 Y 3.43, 2 Ac 3.60

***

An optimized crystal structure of Ac5TbY2. Source: Alexandria via LeMat-Bulk, functional GGA-PBE.

Lattice parameters (Å, degrees): 15.6698 15.6698 9.8999 63.19 63.19 122.85
With the nearest neighbours (Å) after each atom.
Fractional coordinates of all 16 atoms:
1 Ac 0.3779 0.6221 0.2500  4 Ac 3.60-3.82, 2 Y 3.88
2 Ac 0.8216 0.9494 0.2289  2 Y 3.40-3.80, 2 Ac 3.48-3.60
3 Ac 0.4727 0.1376 0.6765  2 Y 3.33-3.59, 2 Ac 3.48-3.52, 1 Tb 3.71
4 Ac 0.5273 0.8624 0.3235  2 Y 3.33-3.59, 2 Ac 3.48-3.52, 1 Tb 3.71
5 Ac 0.0506 0.1784 0.2711  2 Y 3.40-3.80, 2 Ac 3.48-3.60
6 Ac 0.1784 0.0506 0.7711  2 Y 3.40-3.80, 2 Ac 3.48-3.60
7 Ac 0.8624 0.5273 0.8235  2 Y 3.33-3.59, 2 Ac 3.48-3.52, 1 Tb 3.71
8 Ac 0.9494 0.8216 0.7289  2 Y 3.40-3.80, 2 Ac 3.48-3.60
9 Ac 0.6221 0.3779 0.7500  4 Ac 3.60-3.82, 2 Y 3.88
10 Ac 0.1376 0.4727 0.1765  2 Y 3.33-3.59, 2 Ac 3.48-3.52, 1 Tb 3.71
11 Y 0.5000 0.5000 0.5000  4 Ac 3.40-3.80
12 Y 0.5000 0.5000 0.0000  4 Ac 3.40-3.80
13 Y 0.5000 0.0000 0.0000  2 Y 3.27, 4 Ac 3.33-3.59
14 Y 0.0000 0.5000 0.5000  2 Y 3.27, 4 Ac 3.33-3.59
15 Tb 0.2091 0.7909 0.7500  6 Ac 3.71-4.06, 2 Tb 3.97
16 Tb 0.7909 0.2091 0.2500  6 Ac 3.71-4.06, 2 Tb 3.97

***

An optimized crystal structure of AcTb3Y. Source: Alexandria via LeMat-Bulk, functional GGA-PBE.

Lattice parameters (Å, degrees): 6.7281 11.4123 11.4123 52.73 86.45 86.45
With the nearest neighbours (Å) after each atom.
Fractional coordinates of all 20 atoms:
1 Tb 0.6070 0.5223 0.6288  2 Y 3.32-3.65, 6 Tb 3.44-3.71, 2 Ac 3.52-3.54
2 Tb 0.1070 0.6288 0.5223  2 Y 3.32-3.65, 6 Tb 3.44-3.71, 2 Ac 3.52-3.54
3 Tb 0.4139 0.9088 0.4213  3 Y 3.37-3.56, 5 Tb 3.44-3.74
4 Tb 0.9139 0.4213 0.9088  3 Y 3.37-3.56, 5 Tb 3.44-3.74
5 Tb 0.8930 0.3712 0.4777  2 Y 3.32-3.65, 6 Tb 3.44-3.71, 2 Ac 3.52-3.54
6 Tb 0.0861 0.5787 0.0912  3 Y 3.37-3.56, 5 Tb 3.44-3.74
7 Tb 0.6053 0.7593 0.9490  3 Y 3.41-3.64, 3 Ac 3.58-3.81, 2 Tb 3.58-3.62
8 Tb 0.1053 0.9490 0.7593  3 Y 3.41-3.64, 3 Ac 3.58-3.81, 2 Tb 3.58-3.62
9 Tb 0.3930 0.4777 0.3712  2 Y 3.32-3.65, 6 Tb 3.44-3.71, 2 Ac 3.52-3.54
10 Tb 0.3947 0.2407 0.0510  3 Y 3.41-3.64, 3 Ac 3.58-3.81, 2 Tb 3.58-3.62
11 Tb 0.8947 0.0510 0.2407  3 Y 3.41-3.64, 3 Ac 3.58-3.81, 2 Tb 3.58-3.62
12 Tb 0.5861 0.0912 0.5787  3 Y 3.37-3.56, 5 Tb 3.44-3.74
13 Ac 0.7500 0.7474 0.2526  8 Tb 3.52-3.93, 3 Ac 3.66-3.67
14 Ac 0.2500 0.2526 0.7474  8 Tb 3.52-3.93, 3 Ac 3.66-3.67
15 Ac 0.7500 0.1081 0.8919  5 Ac 3.66-4.01, 8 Tb 3.69-3.92
16 Ac 0.2500 0.8919 0.1081  5 Ac 3.66-4.01, 8 Tb 3.69-3.92
17 Y 0.8403 0.7958 0.6401  8 Tb 3.32-3.65, 2 Y 3.72
18 Y 0.1597 0.2042 0.3599  8 Tb 3.32-3.65, 2 Y 3.72
19 Y 0.6597 0.3599 0.2042  8 Tb 3.32-3.65, 2 Y 3.72
20 Y 0.3403 0.6401 0.7958  8 Tb 3.32-3.65, 2 Y 3.72

***

An optimized crystal structure of AcTb3Y4. Source: Alexandria via LeMat-Bulk, functional GGA-PBE.

Lattice parameters (Å, degrees): 3.4774 8.9958 8.9958 96.80 90.00 90.00
With the nearest neighbours (Å) after each atom.
Fractional coordinates of all 8 atoms:
1 Y 0.0000 0.7374 0.7374  4 Tb 3.33-3.37, 2 Y 3.48, 2 Ac 3.59
2 Y 0.5000 0.2604 0.7396  5 Tb 3.22-3.46, 2 Y 3.48, 1 Ac 3.50
3 Y 0.0000 0.2626 0.2626  4 Tb 3.33-3.37, 2 Y 3.48, 2 Ac 3.59
4 Y 0.5000 0.7396 0.2604  5 Tb 3.22-3.46, 2 Y 3.48, 1 Ac 3.50
5 Ac 0.5000 0.0000 0.0000  2 Ac 3.48, 6 Y 3.50-3.59
6 Tb 0.0000 0.0000 0.5000  6 Y 3.37-3.46, 2 Tb 3.48
7 Tb 0.0000 0.5000 0.0000  6 Y 3.37-3.46, 2 Tb 3.48
8 Tb 0.5000 0.5000 0.5000  6 Y 3.22-3.33, 2 Tb 3.48

***

An optimized crystal structure of AcTb4Y. Source: Alexandria via LeMat-Bulk, functional GGA-PBE.

Lattice parameters (Å, degrees): 10.7688 8.9298 8.5414 134.78 128.25 79.15
With the nearest neighbours (Å) after each atom.
Fractional coordinates of all 12 atoms:
1 Y 0.3073 0.2425 0.3732  8 Tb 3.29-3.66
2 Y 0.6927 0.7575 0.6268  8 Tb 3.29-3.66
3 Tb 0.0218 0.7447 0.6258  4 Tb 3.20-3.58, 2 Y 3.29-3.53, 1 Ac 3.53
4 Tb 0.9115 0.2569 0.9121  7 Tb 3.51-3.89, 2 Y 3.59-3.66, 2 Ac 3.64-3.87
5 Tb 0.6479 0.2491 0.3771  6 Tb 3.32-3.65, 2 Y 3.36-3.66, 1 Ac 3.67
6 Tb 0.4197 0.7608 0.1038  6 Tb 3.51-3.82, 3 Y 3.53-3.73, 2 Ac 3.62-3.87
7 Tb 0.0885 0.7431 0.0879  7 Tb 3.51-3.89, 2 Y 3.59-3.66, 2 Ac 3.64-3.87
8 Tb 0.5803 0.2392 0.8962  6 Tb 3.51-3.82, 3 Y 3.53-3.73, 2 Ac 3.62-3.87
9 Tb 0.9782 0.2553 0.3742  4 Tb 3.20-3.58, 2 Y 3.29-3.53, 1 Ac 3.53
10 Tb 0.3521 0.7509 0.6229  6 Tb 3.32-3.65, 2 Y 3.36-3.66, 1 Ac 3.67
11 Ac 0.7552 0.7407 0.0959  9 Tb 3.53-3.87, 2 Y 3.70-3.74
12 Ac 0.2448 0.2593 0.9041  9 Tb 3.53-3.87, 2 Y 3.70-3.74

***

An optimized crystal structure of Ac2TbY. Source: Alexandria via LeMat-Bulk, functional GGA-PBE.

Lattice parameters (Å, degrees): 5.0718 5.4731 5.4731 90.00 90.00 90.00
With the nearest neighbours (Å) after each atom.
Fractional coordinates of all 4 atoms:
1 Y 0.5000 0.0000 0.0000  8 Ac 3.73, 4 Tb 3.87
2 Tb 0.5000 0.5000 0.5000  8 Ac 3.73, 4 Y 3.87
3 Ac 0.0000 0.0000 0.5000  4 Tb 3.73, 4 Y 3.73, 4 Ac 3.87
4 Ac 0.0000 0.5000 0.0000  4 Y 3.73, 4 Tb 3.73, 4 Ac 3.87

***

An optimized crystal structure of Ac4TbY. Source: Alexandria via LeMat-Bulk, functional GGA-PBE.

Lattice parameters (Å, degrees): 7.1400 7.1400 7.1400 60.00 60.00 60.00
With the nearest neighbours (Å) after each atom.
Fractional coordinates of all 6 atoms:
1 Ac 0.6251 0.6251 0.1247  6 Ac 3.57
2 Ac 0.6251 0.6251 0.6251  6 Ac 3.57
3 Ac 0.6251 0.1247 0.6251  6 Ac 3.57
4 Ac 0.1247 0.6251 0.6251  6 Ac 3.57
5 Y 0.0000 0.0000 0.0000  12 Ac 4.19, 4 Tb 4.37
6 Tb 0.2500 0.2500 0.2500  12 Ac 4.19, 4 Y 4.37

***

An optimized crystal structure of Ac3Tb3Y2. Source: Alexandria via LeMat-Bulk, functional GGA-PBE.

Lattice parameters (Å, degrees): 6.8591 10.0711 10.0712 60.00 90.00 90.00
With the nearest neighbours (Å) after each atom.
Fractional coordinates of all 16 atoms:
1 Ac 0.7500 0.0000 0.2397  5 Tb 3.51-3.84
2 Ac 0.2500 0.2397 0.0000  5 Tb 3.51-3.84
3 Ac 0.2500 0.7603 0.2397  5 Tb 3.51-3.84
4 Ac 0.7500 0.7603 0.0000  5 Tb 3.51-3.84
5 Ac 0.2500 0.0000 0.7603  5 Tb 3.51-3.84
6 Ac 0.7500 0.2397 0.7603  5 Tb 3.51-3.84
7 Y 0.5000 0.3333 0.3333  2 Y 3.43, 6 Tb 3.49
8 Y 0.0000 0.3333 0.3333  2 Y 3.43, 6 Tb 3.49
9 Y 0.0000 0.6667 0.6667  2 Y 3.43, 6 Tb 3.49
10 Y 0.5000 0.6667 0.6667  2 Y 3.43, 6 Tb 3.49
11 Tb 0.7500 0.5878 0.4122  4 Y 3.49, 5 Ac 3.51-3.84, 2 Tb 3.86
12 Tb 0.2500 0.4122 0.5878  4 Y 3.49, 5 Ac 3.51-3.84, 2 Tb 3.86
13 Tb 0.2500 0.0000 0.4122  4 Y 3.49, 5 Ac 3.51-3.84, 2 Tb 3.86
14 Tb 0.7500 0.4122 0.0000  4 Y 3.49, 5 Ac 3.51-3.84, 2 Tb 3.86
15 Tb 0.2500 0.5878 0.0000  4 Y 3.49, 5 Ac 3.51-3.84, 2 Tb 3.86
16 Tb 0.7500 0.0000 0.5878  4 Y 3.49, 5 Ac 3.51-3.84, 2 Tb 3.86

***

An optimized crystal structure of Ac4TbY. Source: Alexandria via LeMat-Bulk, functional GGA-PBE.

Lattice parameters (Å, degrees): 5.9210 7.4559 11.1248 90.01 90.00 90.00
With the nearest neighbours (Å) after each atom.
Fractional coordinates of all 12 atoms:
1 Y 0.5001 0.2500 0.5000  2 Y 3.73, 8 Ac 3.92
2 Y 0.4999 0.7500 0.5000  2 Y 3.73, 8 Ac 3.92
3 Ac 0.5000 0.0000 0.8409  5 Ac 3.54-3.73, 4 Tb 3.92
4 Ac 0.0000 0.5000 0.6589  5 Ac 3.54-3.73, 4 Y 3.92
5 Ac 0.5000 0.5000 0.8409  5 Ac 3.54-3.73, 4 Tb 3.92
6 Ac 0.5000 0.5000 0.1591  5 Ac 3.54-3.73, 4 Tb 3.92
7 Ac 0.5000 0.0000 0.1591  5 Ac 3.54-3.73, 4 Tb 3.92
8 Ac 0.0000 0.0000 0.6589  5 Ac 3.54-3.73, 4 Y 3.92
9 Ac 0.0000 0.0000 0.3411  5 Ac 3.54-3.73, 4 Y 3.92
10 Ac 0.0000 0.5000 0.3411  5 Ac 3.54-3.73, 4 Y 3.92
11 Tb 0.9998 0.2500 0.0000  2 Tb 3.73, 8 Ac 3.92
12 Tb 0.0002 0.7500 0.0000  2 Tb 3.73, 8 Ac 3.92

***

Calculated formation energy from the elements (eV per atom), listed in the same order as above: 0.03 0.09 0.35 0.09 0.44 0.05 0.04 0.37 0.17 0.16
Calculated Fermi-level density of states (states/eV per cell), listed in the same order as above: 22.6 13.9 25.1 26.0 17.6 18.4 5.6 10.9 37.1 24.1